No. 1
First-principles (PBE-GGA) data for crystalline BaTlTe2 at its relaxed geometry, as listed in Alexandria.

Cell and atoms, written as CIF:
```
data_BaTlTe2
_chemical_formula_sum 'Ba1 Tl1 Te2'
_space_group_name_H-M_alt 'P 1 m 1'
_space_group_IT_number 6
_space_group_name_Hall 'P -2y'
_cell_length_a 4.832
_cell_length_b 6.911
_cell_length_c 4.905
_cell_angle_alpha 90.00
_cell_angle_beta 90.04
_cell_angle_gamma 90.00
loop_
_atom_site_label
_atom_site_fract_x
_atom_site_fract_y
_atom_site_fract_z
_atom_site_occupancy
Ba1 0.000 0.000 0.000 1
Tl1 0.495 0.500 0.550 1
Te1 0.500 0.000 0.499 1
Te2 0.997 0.500 0.991 1
```

Calculated values
total magnetic moment = 0.000 μB/cell
DFT total energy = -0.1298 Ha/atom

***

No. 2
First-principles (PBE-GGA) data for crystalline BaTlTe3 at its relaxed geometry, as listed in Alexandria.

Cell and atoms, written as CIF:
```
data_BaTlTe3
_chemical_formula_sum 'Ba4 Tl4 Te12'
_space_group_name_H-M_alt 'P n m a'
_space_group_IT_number 62
_space_group_name_Hall '-P 2ac 2n'
_cell_length_a 8.645
_cell_length_b 5.509
_cell_length_c 17.171
_cell_angle_alpha 90.00
_cell_angle_beta 90.00
_cell_angle_gamma 90.00
loop_
_atom_site_label
_atom_site_fract_x
_atom_site_fract_y
_atom_site_fract_z
_atom_site_occupancy
Ba1 0.192 0.250 0.191 1
Tl1 0.175 0.750 0.404 1
Te1 0.051 0.250 0.739 1
Te2 0.184 0.250 0.571 1
Te3 0.193 0.750 0.906 1
```

Calculated values
total magnetic moment = 0.000 μB/cell
DFT total energy = -0.1273 Ha/atom

***

No. 3
First-principles (PBE-GGA) data for crystalline BaTlTe2 at its relaxed geometry, as listed in Alexandria.

Cell and atoms, written as CIF:
```
data_BaTlTe2
_chemical_formula_sum 'Ba2 Tl2 Te4'
_space_group_name_H-M_alt 'C m m m'
_space_group_IT_number 65
_space_group_name_Hall '-C 2 2'
_cell_length_a 7.133
_cell_length_b 8.823
_cell_length_c 4.519
_cell_angle_alpha 90.00
_cell_angle_beta 90.00
_cell_angle_gamma 90.00
loop_
_atom_site_label
_atom_site_fract_x
_atom_site_fract_y
_atom_site_fract_z
_atom_site_occupancy
Ba1 0.000 0.000 0.000 1
Tl1 0.000 0.500 0.000 1
Te1 0.250 0.250 0.500 1
```

Calculated values
total magnetic moment = 0.000 μB/cell
DFT total energy = -0.1311 Ha/atom

***

No. 4
First-principles (PBE-GGA) data for crystalline BaTlTe2 at its relaxed geometry, as listed in Alexandria.

Cell and atoms, written as CIF:
```
data_BaTlTe2
_chemical_formula_sum 'Ba8 Tl8 Te16'
_space_group_name_H-M_alt 'F m m 2'
_space_group_IT_number 42
_space_group_name_Hall 'F 2 -2'
_cell_length_a 6.623
_cell_length_b 27.365
_cell_length_c 6.625
_cell_angle_alpha 90.00
_cell_angle_beta 90.00
_cell_angle_gamma 90.00
loop_
_atom_site_label
_atom_site_fract_x
_atom_site_fract_y
_atom_site_fract_z
_atom_site_occupancy
Ba1 0.000 0.101 0.000 1
Tl1 0.250 0.250 0.252 1
Te1 0.000 0.152 0.500 1
Te2 0.250 0.000 0.250 1
```

Calculated values
total magnetic moment = 0.001 μB/cell
DFT total energy = -0.1307 Ha/atom

***

No. 5
First-principles (PBE-GGA) data for crystalline BaTl2Te2 at its relaxed geometry, as listed in Alexandria.

Cell and atoms, written as CIF:
```
data_BaTl2Te2
_chemical_formula_sum 'Ba2 Tl4 Te4'
_space_group_name_H-M_alt 'I 4/m m m'
_space_group_IT_number 139
_space_group_name_Hall '-I 4 2'
_cell_length_a 6.141
_cell_length_b 6.141
_cell_length_c 10.272
_cell_angle_alpha 90.00
_cell_angle_beta 90.00
_cell_angle_gamma 90.00
loop_
_atom_site_label
_atom_site_fract_x
_atom_site_fract_y
_atom_site_fract_z
_atom_site_occupancy
Ba1 0.000 0.000 0.000 1
Tl1 0.000 0.000 0.351 1
Te1 0.000 0.500 0.250 1
```

Calculated values
total magnetic moment = 0.000 μB/cell
DFT total energy = -0.1185 Ha/atom

***

No. 6
First-principles (PBE-GGA) data for crystalline Ba4TlTe at its relaxed geometry, as listed in Alexandria.

Cell and atoms, written as CIF:
```
data_Ba4TlTe
_chemical_formula_sum 'Ba16 Tl4 Te4'
_space_group_name_H-M_alt 'F -4 3 m'
_space_group_IT_number 216
_space_group_name_Hall 'F -4 2 3'
_cell_length_a 10.303
_cell_length_b 10.303
_cell_length_c 10.303
_cell_angle_alpha 90.00
_cell_angle_beta 90.00
_cell_angle_gamma 90.00
loop_
_atom_site_label
_atom_site_fract_x
_atom_site_fract_y
_atom_site_fract_z
_atom_site_occupancy
Ba1 0.124 0.124 0.124 1
Tl1 0.000 0.000 0.500 1
Te1 0.250 0.250 0.750 1
```

Calculated values
total magnetic moment = 0.021 μB/cell
DFT total energy = -0.0805 Ha/atom

***

No. 7
First-principles (PBE-GGA) data for crystalline BaTlTe3 at its relaxed geometry, as listed in Alexandria.

Cell and atoms, written as CIF:
```
data_BaTlTe3
_chemical_formula_sum 'Ba1 Tl1 Te3'
_space_group_name_H-M_alt 'P m -3 m'
_space_group_IT_number 221
_space_group_name_Hall '-P 4 2 3'
_cell_length_a 5.830
_cell_length_b 5.830
_cell_length_c 5.830
_cell_angle_alpha 90.00
_cell_angle_beta 90.00
_cell_angle_gamma 90.00
loop_
_atom_site_label
_atom_site_fract_x
_atom_site_fract_y
_atom_site_fract_z
_atom_site_occupancy
Ba1 0.000 0.000 0.000 1
Tl1 0.500 0.500 0.500 1
Te1 0.000 0.500 0.500 1
```

Calculated values
total magnetic moment = 0.000 μB/cell
DFT total energy = -0.1157 Ha/atom

***

No. 8
First-principles (PBE-GGA) data for crystalline Ba2TlTe at its relaxed geometry, as listed in Alexandria.

Cell and atoms, written as CIF:
```
data_Ba2TlTe
_chemical_formula_sum 'Ba2 Tl1 Te1'
_space_group_name_H-M_alt 'P 1 2/m 1'
_space_group_IT_number 10
_space_group_name_Hall '-P 2y'
_cell_length_a 4.334
_cell_length_b 4.352
_cell_length_c 8.387
_cell_angle_alpha 90.00
_cell_angle_beta 90.05
_cell_angle_gamma 90.00
loop_
_atom_site_label
_atom_site_fract_x
_atom_site_fract_y
_atom_site_fract_z
_atom_site_occupancy
Ba1 0.000 0.000 0.240 1
Tl1 0.500 0.500 0.500 1
Te1 0.500 0.500 0.000 1
```

Calculated values
total magnetic moment = 0.000 μB/cell
DFT total energy = -0.1205 Ha/atom

***

No. 9
First-principles (PBE-GGA) data for crystalline BaTlTe2 at its relaxed geometry, as listed in Alexandria.

Cell and atoms, written as CIF:
```
data_BaTlTe2
_chemical_formula_sum 'Ba4 Tl4 Te8'
_space_group_name_H-M_alt 'I -4 2 d'
_space_group_IT_number 122
_space_group_name_Hall 'I -4 2bw'
_cell_length_a 7.326
_cell_length_b 7.326
_cell_length_c 15.717
_cell_angle_alpha 90.00
_cell_angle_beta 90.00
_cell_angle_gamma 90.00
loop_
_atom_site_label
_atom_site_fract_x
_atom_site_fract_y
_atom_site_fract_z
_atom_site_occupancy
Ba1 0.000 0.000 0.000 1
Tl1 0.000 0.000 0.500 1
Te1 0.211 0.250 0.625 1
```

Calculated values
total magnetic moment = 0.000 μB/cell
DFT total energy = -0.1259 Ha/atom

***

No. 10
First-principles (PBE-GGA) data for crystalline Ba2TlTe at its relaxed geometry, as listed in Alexandria.

Cell and atoms, written as CIF:
```
data_Ba2TlTe
_chemical_formula_sum 'Ba2 Tl1 Te1'
_space_group_name_H-M_alt 'P 4/m m m'
_space_group_IT_number 123
_space_group_name_Hall '-P 4 2'
_cell_length_a 6.056
_cell_length_b 6.056
_cell_length_c 4.250
_cell_angle_alpha 90.00
_cell_angle_beta 90.00
_cell_angle_gamma 90.00
loop_
_atom_site_label
_atom_site_fract_x
_atom_site_fract_y
_atom_site_fract_z
_atom_site_occupancy
Ba1 0.000 0.500 0.000 1
Tl1 0.000 0.000 0.500 1
Te1 0.500 0.500 0.500 1
```

Calculated values
total magnetic moment = 0.000 μB/cell
DFT total energy = -0.1188 Ha/atom

***

No. 11
First-principles (PBE-GGA) data for crystalline BaTlTe2 at its relaxed geometry, as listed in Alexandria.

Cell and atoms, written as CIF:
```
data_BaTlTe2
_chemical_formula_sum 'Ba2 Tl2 Te4'
_space_group_name_H-M_alt 'I 4/m m m'
_space_group_IT_number 139
_space_group_name_Hall '-I 4 2'
_cell_length_a 6.325
_cell_length_b 6.325
_cell_length_c 7.135
_cell_angle_alpha 90.00
_cell_angle_beta 90.00
_cell_angle_gamma 90.00
loop_
_atom_site_label
_atom_site_fract_x
_atom_site_fract_y
_atom_site_fract_z
_atom_site_occupancy
Ba1 0.000 0.000 0.000 1
Tl1 0.000 0.000 0.500 1
Te1 0.000 0.500 0.250 1
```

Calculated values
total magnetic moment = 0.000 μB/cell
DFT total energy = -0.1312 Ha/atom

***

No. 12
First-principles (PBE-GGA) data for crystalline Ba2TlTe at its relaxed geometry, as listed in Alexandria.

Cell and atoms, written as CIF:
```
data_Ba2TlTe
_chemical_formula_sum 'Ba4 Tl2 Te2'
_space_group_name_H-M_alt 'I 4/m m m'
_space_group_IT_number 139
_space_group_name_Hall '-I 4 2'
_cell_length_a 5.656
_cell_length_b 5.656
_cell_length_c 9.728
_cell_angle_alpha 90.00
_cell_angle_beta 90.00
_cell_angle_gamma 90.00
loop_
_atom_site_label
_atom_site_fract_x
_atom_site_fract_y
_atom_site_fract_z
_atom_site_occupancy
Ba1 0.000 0.500 0.250 1
Tl1 0.000 0.000 0.000 1
Te1 0.000 0.000 0.500 1
```

Calculated values
total magnetic moment = 0.000 μB/cell
DFT total energy = -0.1154 Ha/atom

***

Please write out number 11 again, unchanged.
First-principles (PBE-GGA) data for crystalline BaTlTe2 at its relaxed geometry, as listed in Alexandria.

Cell and atoms, written as CIF:
```
data_BaTlTe2
_chemical_formula_sum 'Ba2 Tl2 Te4'
_space_group_name_H-M_alt 'I 4/m m m'
_space_group_IT_number 139
_space_group_name_Hall '-I 4 2'
_cell_length_a 6.325
_cell_length_b 6.325
_cell_length_c 7.135
_cell_angle_alpha 90.00
_cell_angle_beta 90.00
_cell_angle_gamma 90.00
loop_
_atom_site_label
_atom_site_fract_x
_atom_site_fract_y
_atom_site_fract_z
_atom_site_occupancy
Ba1 0.000 0.000 0.000 1
Tl1 0.000 0.000 0.500 1
Te1 0.000 0.500 0.250 1
```

Calculated values
total magnetic moment = 0.000 μB/cell
DFT total energy = -0.1312 Ha/atom